Entry from Alexandria via LeMat-Bulk: an optimized crystal structure of Ba2Zn3HgGe4 (GGA-PBE).

**E**: -2.99 eV per atom
**Space group**: P-4m2, No. 115
**Magnetization**: 0.000 μB/atom

a b c (Å): 4.5771 4.5771 11.0786
angles (deg): 90.00 90.00 90.00
Fractional coordinates of all 10 atoms:
Ba1 0.0000 0.5000 0.2480
Ba2 0.5000 0.0000 0.7520
Zn1 0.0000 0.5000 0.8743
Zn2 0.5000 0.0000 0.1257
Zn3 0.5000 0.5000 0.5000
Hg1 0.0000 0.0000 0.5000
Ge1 0.0000 0.0000 0.0000
Ge2 0.0000 0.5000 0.6397
Ge3 0.5000 0.0000 0.3603
Ge4 0.5000 0.5000 0.0000

Entry from Alexandria via LeMat-Bulk: an optimized crystal structure of Al2GeSe (GGA-PBE).

**Raw formation energy**: 0.16 eV/atom
**Space group**: Fm-3m, No. 225
**Magnetization**: 0.000 μB/atom
**Excess energy over the best structure of this formula in the dataset**: 482.1 meV per atom

a b c (Å): 4.6945 4.6945 4.6945
angles (deg): 60.00 60.00 60.00
Fractional coordinates of all 4 atoms:
Al1 0.2500 0.2500 0.2500
Al2 0.7500 0.7500 0.7500
Ge1 0.0000 0.0000 0.0000
Se1 0.5000 0.5000 0.5000